K4Nd3MnO8 | Alexandria | PBE with a Hubbard U | relaxed; space group = C2/m; density of states at the Fermi level = 0.0 states/eV/cell; VASP energy = -102.4 eV per cell
1.0
6.3110 -3.4746 0.0000
6.3110 3.4746 0.0000
-3.8838 0.0000 6.3249
K Nd Mn O
4 3 1 8
direct
0.0000 0.0000 0.0000 K
0.0000 0.5000 0.0000 K
0.5000 0.0000 0.0000 K
0.5000 0.5000 0.0000 K
0.0000 0.0000 0.5000 Nd
0.0000 0.5000 0.5000 Nd
0.5000 0.0000 0.5000 Nd
0.5000 0.5000 0.5000 Mn
0.2222 0.2222 0.6924 O
0.2350 0.2350 0.2745 O
0.2654 0.6918 0.6667 O
0.3082 0.7346 0.3333 O
0.6918 0.2654 0.6667 O
0.7346 0.3082 0.3333 O
0.7650 0.7650 0.7255 O
0.7778 0.7778 0.3076 O